[1]
# DyY12Ho6

Crystalline DyY12Ho6 at its relaxed geometry (PBE-GGA, Alexandria).

```
DyY12Ho6
1.0
-5.5058 -5.4120 -4.8584
7.7791 0.7138 -4.7100
1.9972 -4.5170 7.6692
Dy Y Ho
1 12 6
Direct
0.0000 0.0000 0.0000
0.4820 0.1908 0.5770
0.1908 0.5770 0.4820
0.5770 0.4820 0.1908
0.5180 0.8092 0.4230
0.8092 0.4230 0.5180
0.4230 0.5180 0.8092
0.2810 0.1369 0.8259
0.1741 0.7190 0.8631
0.8631 0.1741 0.7190
0.7190 0.8631 0.1741
0.8259 0.2810 0.1369
0.1369 0.8259 0.2810
0.0765 0.1855 0.4531
0.8145 0.5469 0.9235
0.5469 0.9235 0.8145
0.9235 0.8145 0.5469
0.1855 0.4531 0.0765
0.4531 0.0765 0.1855
```

Values from the calculation:
Its calculated formation energy is 0.26 eV/atom. Its space group is R-3. The total magnetization is 0.00 μB per formula unit. The uncorrected energy is -5.51 eV per atom.

=====

[2]
# DyY2Ho2

Crystalline DyY2Ho2 at its relaxed geometry (PBE-GGA, Alexandria).

```
DyY2Ho2
1.0
9.2879 0.0000 0.0000
0.0000 9.2879 0.0000
0.0000 0.0000 3.7225
Dy Y Ho
2 4 4
Direct
0.0000 0.0000 0.0000
0.5000 0.5000 0.0000
0.3282 0.8282 0.5000
0.8282 0.6718 0.5000
0.6718 0.1718 0.5000
0.1718 0.3282 0.5000
0.1265 0.6265 0.0000
0.6265 0.8735 0.0000
0.8735 0.3735 0.0000
0.3735 0.1265 0.0000
```

Values from the calculation:
Its calculated formation energy is 0.09 eV/atom. Its space group is P4/mbm. The total magnetization is 0.00 μB per formula unit. The uncorrected energy is -5.25 eV per atom.

=====

[3]
# Dy3YHo7

Crystalline Dy3YHo7 at its relaxed geometry (PBE-GGA, Alexandria).

```
Dy3YHo7
1.0
5.7505 -0.1771 -0.2268
-2.6053 7.8900 1.0747
-2.6053 -0.8702 7.9151
Dy Y Ho
3 1 7
Direct
0.0000 0.7917 0.2083
0.5000 0.0000 0.0000
0.0000 0.2083 0.7917
0.5000 0.5000 0.5000
0.2072 0.2060 0.2060
0.2959 0.9933 0.5989
0.7041 0.4011 0.0067
0.2959 0.5989 0.9933
0.0000 0.5000 0.5000
0.7041 0.0067 0.4011
0.7928 0.7940 0.7940
```

Values from the calculation:
Its calculated formation energy is 0.27 eV/atom. Its space group is C2/m. The total magnetization is 0.40 μB per formula unit. The uncorrected energy is -4.48 eV per atom.

=====

[4]
# Dy3Y2Ho2

Crystalline Dy3Y2Ho2 at its relaxed geometry (PBE-GGA, Alexandria).

```
Dy3Y2Ho2
1.0
3.5001 0.0000 0.0000
0.0000 8.4564 -0.7474
-1.7500 -3.5450 7.9203
Dy Y Ho
3 2 2
Direct
0.0000 0.5000 0.0000
0.2117 0.8023 0.4233
0.7883 0.1977 0.5767
0.8537 0.6758 0.7073
0.1463 0.3242 0.2927
0.5655 0.9080 0.1310
0.4345 0.0920 0.8690
```

Values from the calculation:
Its calculated formation energy is 0.11 eV/atom. Its space group is C2/m. The total magnetization is 0.00 μB per formula unit. The uncorrected energy is -5.02 eV per atom.

=====

[5]
# DyY10Ho2

Crystalline DyY10Ho2 at its relaxed geometry (PBE-GGA, Alexandria).

```
DyY10Ho2
1.0
6.5340 0.0000 0.0000
3.2670 7.7994 0.0000
3.2670 0.0000 8.6196
Dy Y Ho
1 10 2
Direct
0.0000 0.0000 0.0000
0.3510 0.6365 0.6615
0.6490 0.3635 0.3385
0.9875 0.3635 0.6615
0.0125 0.6365 0.3385
0.0000 0.0000 0.5000
0.5000 0.0000 0.5000
0.2953 0.2071 0.2023
0.7047 0.7929 0.7977
0.5024 0.7929 0.2023
0.4976 0.2071 0.7977
0.0000 0.5000 0.0000
0.5000 0.5000 0.0000
```

Values from the calculation:
Its calculated formation energy is 0.29 eV/atom. Its space group is Fmmm. The total magnetization is 0.01 μB per formula unit. The uncorrected energy is -5.74 eV per atom.

=====

[6]
# Dy7Y5Ho

Crystalline Dy7Y5Ho at its relaxed geometry (PBE-GGA, Alexandria).

```
Dy7Y5Ho
1.0
-4.9613 4.2627 1.4563
-6.2795 0.0122 -6.0106
-6.4273 -3.7487 4.4941
Dy Y Ho
7 5 1
Direct
0.5728 0.4272 0.4272
0.2679 0.7321 0.7321
0.0195 0.3086 0.6525
0.0195 0.6525 0.3086
0.2694 0.2306 0.2306
0.5197 0.8092 0.1514
0.5197 0.1514 0.8092
0.5372 0.0055 0.4557
0.0016 0.0055 0.4557
0.5372 0.4557 0.0055
0.0016 0.4557 0.0055
0.7702 0.7298 0.7298
0.9637 0.0363 0.0363
```

Values from the calculation:
Its calculated formation energy is 0.27 eV/atom. Its space group is Imm2. The total magnetization is 0.00 μB per formula unit. The uncorrected energy is -5.04 eV per atom.

=====

[7]
# Dy2Y6Ho3

Crystalline Dy2Y6Ho3 at its relaxed geometry (PBE-GGA, Alexandria).

```
Dy2Y6Ho3
1.0
4.7110 0.0000 0.0000
0.0000 4.7110 0.0000
-2.3555 -2.3555 16.6739
Dy Y Ho
2 6 3
Direct
0.4547 0.4547 0.9094
0.5453 0.5453 0.0906
0.1209 0.6209 0.2418
0.6209 0.1209 0.2418
0.8791 0.3791 0.7582
0.3791 0.8791 0.7582
0.6989 0.6989 0.3979
0.3011 0.3011 0.6021
0.0000 0.0000 0.0000
0.8019 0.8019 0.6037
0.1981 0.1981 0.3963
```

Values from the calculation:
Its calculated formation energy is 0.30 eV/atom. Its space group is I4/mmm. The total magnetization is 0.00 μB per formula unit. The uncorrected energy is -5.31 eV per atom.

=====

[8]
# DyY7Ho3

Crystalline DyY7Ho3 at its relaxed geometry (PBE-GGA, Alexandria).

```
DyY7Ho3
1.0
8.5826 0.0000 0.0000
0.0000 7.0723 0.0000
0.0000 -3.5361 6.1248
Dy Y Ho
1 7 3
Direct
0.4483 0.3333 0.6667
0.1163 0.1680 0.8320
0.1163 0.1680 0.3361
0.1178 0.6667 0.3333
0.4506 0.8323 0.1677
0.4506 0.3354 0.1677
0.4506 0.8323 0.6646
0.1163 0.6639 0.8320
0.7827 0.4997 0.5003
0.7827 0.4997 0.9995
0.7827 0.0005 0.5003
```

Values from the calculation:
Its calculated formation energy is 0.20 eV/atom. Its space group is P3m1. The total magnetization is 0.00 μB per formula unit. The uncorrected energy is -5.58 eV per atom.